Arrangement P

Be2CCl | PBE | relaxed

Its total magnetic moment is 0.0 Bohr magnetons per cell.

a b c (Å): 4.554 4.554 5.557
angles (deg): 65.81 65.81 90.00
Positions (direct):
Cl 0.000 0.000 0.000
C 0.500 0.500 0.000
Be 0.533 0.125 0.250
Be 0.217 0.625 0.250
C 0.250 0.750 0.500
Be 0.375 0.467 0.750
Cl 0.750 0.250 0.500
Be 0.875 0.783 0.750


Arrangement Q

Be2CCl | PBE | relaxed

Its total magnetic moment is 0.0 Bohr magnetons per cell.

a b c (Å): 3.868 3.868 3.868
angles (deg): 60.00 60.00 60.00
Positions (direct):
Be 0.750 0.750 0.750
Be 0.250 0.250 0.250
Cl 0.500 0.500 0.500
C 0.000 0.000 0.000


Name the least stable of them. arrangement Q.